# YBrNO2 PBE-GGA relaxed
# **DOS(E_F)**: 0.41 states/eV/atom
# **SG**: P4/mmm, No. 123
# **Formation energy (no corrections)**: -0.125 eV per atom
# **Uncorrected energy**: -27.01 eV for the cell shown
data_YBrNO2
_cell_length_a 4.510
_cell_length_b 4.510
_cell_length_c 4.771
_cell_angle_alpha 90.00
_cell_angle_beta 90.00
_cell_angle_gamma 90.00
_space_group_name_H-M_alt 'P 1'
_space_group_IT_number 1
_space_group_name_Hall 'P 1'
loop_
_atom_site_label
_atom_site_type_symbol
_atom_site_fract_x
_atom_site_fract_y
_atom_site_fract_z
Y1 Y 0.000 0.000 0.000
Br1 Br 0.500 0.500 0.500
N1 N 0.000 0.000 0.500
O1 O 0.000 0.500 0.000
O2 O 0.500 0.000 0.000

=====

# ZnCrTe3 PBE-GGA relaxed
# **DOS(E_F)**: 1.47 states/eV/atom
# **Energy above the lowest structure with this stoichiometry**: 0.758 eV per atom
# **SG**: Pm-3m, No. 221
# **Formation energy (no corrections)**: 1.165 eV per atom
# **Uncorrected energy**: -14.50 eV for the cell shown
data_ZnCrTe3
_cell_length_a 5.209
_cell_length_b 5.209
_cell_length_c 5.209
_cell_angle_alpha 90.00
_cell_angle_beta 90.00
_cell_angle_gamma 90.00
_space_group_name_H-M_alt 'P 1'
_space_group_IT_number 1
_space_group_name_Hall 'P 1'
loop_
_atom_site_label
_atom_site_type_symbol
_atom_site_fract_x
_atom_site_fract_y
_atom_site_fract_z
Zn1 Zn 0.000 0.000 0.000
Cr1 Cr 0.500 0.500 0.500
Te1 Te 0.000 0.000 0.500
Te2 Te 0.000 0.500 0.000
Te3 Te 0.500 0.000 0.000

=====

# Y3Si4Rh2 PBE-GGA relaxed
# **DOS(E_F)**: 0.51 states/eV/atom
# **SG**: C2/m, No. 12
# **Formation energy (no corrections)**: -0.956 eV per atom
# **Uncorrected energy**: -64.39 eV for the cell shown
data_Y3Si4Rh2
_cell_length_a 5.741
_cell_length_b 5.741
_cell_length_c 8.043
_cell_angle_alpha 106.97
_cell_angle_beta 106.97
_cell_angle_gamma 42.30
_space_group_name_H-M_alt 'P 1'
_space_group_IT_number 1
_space_group_name_Hall 'P 1'
loop_
_atom_site_label
_atom_site_type_symbol
_atom_site_fract_x
_atom_site_fract_y
_atom_site_fract_z
Y1 Y 0.000 0.000 0.000
Y2 Y 0.381 0.381 0.302
Y3 Y 0.619 0.619 0.698
Si1 Si 0.094 0.094 0.407
Si2 Si 0.280 0.280 0.926
Si3 Si 0.720 0.720 0.074
Si4 Si 0.906 0.906 0.593
Rh1 Rh 0.311 0.311 0.638
Rh2 Rh 0.689 0.689 0.362

=====

# CeNdScSn PBE-GGA relaxed
# **DFT formation energy**: -0.198 eV per atom
# **DOS(E_F)**: 1.92 states/eV/atom
# **SG**: F-43m, No. 216
# **Uncorrected energy**: -21.83 eV for the cell shown
data_CeNdScSn
_cell_length_a 5.321
_cell_length_b 5.321
_cell_length_c 5.321
_cell_angle_alpha 60.00
_cell_angle_beta 60.00
_cell_angle_gamma 60.00
_space_group_name_H-M_alt 'P 1'
_space_group_IT_number 1
_space_group_name_Hall 'P 1'
loop_
_atom_site_label
_atom_site_type_symbol
_atom_site_fract_x
_atom_site_fract_y
_atom_site_fract_z
Ce1 Ce 0.000 0.000 0.000
Nd1 Nd 0.250 0.250 0.250
Sc1 Sc 0.750 0.750 0.750
Sn1 Sn 0.500 0.500 0.500